Here is an optimized crystal structure of HfV2WO from Alexandria. Energies are from GGA+U.

Computed properties:
Total energy = -7.495 eV/atom
V = 15.8 Å³/atom
Symmetry = P4/mmm (123)
DOS at the Fermi energy = 2.75 states/eV/f.u.

a = 4.2289 Å, b = 4.4253 Å, c = 4.2289 Å
α = 90.00°, β = 90.00°, γ = 90.00°
Last column: magnetic moment on the atom in μB.
Fractional coordinates of all 5 atoms:
V (0.0000, 0.0000, 0.5000)  2.28
V (0.5000, 0.0000, 0.0000)  2.52
W (0.5000, 0.5000, 0.5000)  -2.19
O (0.0000, 0.0000, 0.0000)  0.00
Hf (0.0000, 0.5000, 0.0000)  -0.05